Record 1
First-principles (PBE) data for crystalline AcBSe4 at its relaxed geometry, as listed in the Alexandria database.

As for the space-group type: P2_1/m, No. 11. Its total magnetization is 0.0 μB/f.u. As for the formation energy (no corrections): -0.671 eV per atom.

Unit cell a=5.421 b=8.188 c=9.686 alpha=90.00 beta=90.00 gamma=122.53
Element x y z (fractional)
Ac (0.055, 0.675, 0.750)
Ac (0.945, 0.325, 0.250)
B (0.957, 0.157, 0.750)
B (0.043, 0.843, 0.250)
Se (0.710, 0.865, 0.750)
Se (0.290, 0.135, 0.250)
Se (0.414, 0.282, 0.750)
Se (0.586, 0.718, 0.250)
Se (0.081, 0.704, 0.086)
Se (0.919, 0.296, 0.586)
Se (0.081, 0.704, 0.414)
Se (0.919, 0.296, 0.914)

=====

Record 2
First-principles (PBE) data for crystalline Ir3Au at its relaxed geometry, as listed in the Alexandria database.

As for the space-group type: R-3m, No. 166. Its total magnetization is 1.2 μB/f.u. The calculation puts the energy relative to the elements at 692 meV per atom.

Unit cell a=5.211 b=5.211 c=5.211 alpha=116.95 beta=116.95 gamma=116.95
Last column: magnetic moment on the atom in μB.
Element x y z (fractional)
Au (0.000, 0.000, 0.000)  0.03
Ir (0.000, 0.500, 0.500)  0.39
Ir (0.500, 0.000, 0.500)  0.39
Ir (0.500, 0.500, 0.000)  0.39

=====

Record 3
First-principles (PBE) data for crystalline MgUZn17 at its relaxed geometry, as listed in the Alexandria database.

As for the space-group type: R3m, No. 160. Its total magnetization is 2.8 μB/f.u. The calculation puts the energy relative to the elements at -32 meV per atom.

Unit cell a=6.797 b=6.797 c=6.797 alpha=82.36 beta=82.36 gamma=82.36
Last column: magnetic moment on the atom in μB.
Element x y z (fractional)
Mg (0.365, 0.365, 0.365)  0.00
U (0.661, 0.661, 0.661)  2.49
Zn (0.298, 0.003, 0.693)  0.01
Zn (0.693, 0.298, 0.003)  0.01
Zn (0.003, 0.693, 0.298)  0.01
Zn (0.298, 0.693, 0.003)  0.01
Zn (0.003, 0.298, 0.693)  0.01
Zn (0.693, 0.003, 0.298)  0.01
Zn (0.351, 0.844, 0.351)  0.00
Zn (0.351, 0.351, 0.844)  0.00
Zn (0.844, 0.351, 0.351)  0.00
Zn (0.647, 0.163, 0.647)  0.00
Zn (0.647, 0.647, 0.163)  0.00
Zn (0.163, 0.647, 0.647)  0.00
Zn (0.988, 0.503, 0.988)  0.00
Zn (0.988, 0.988, 0.503)  0.00
Zn (0.503, 0.988, 0.988)  0.00
Zn (0.900, 0.900, 0.900)  0.01
Zn (0.104, 0.104, 0.104)  0.00

=====

Record 4
First-principles (PBE) data for crystalline Pm8MgGa2 at its relaxed geometry, as listed in the Alexandria database.

As for the space-group type: C2/m, No. 12. Its total magnetization is 0.0 μB/f.u. The calculation puts the energy relative to the elements at -194 meV per atom.

Unit cell a=5.375 b=8.588 c=8.665 alpha=118.06 beta=108.07 gamma=90.00
Element x y z (fractional)
Pm (0.607, 0.459, 0.214)
Pm (0.316, 0.043, 0.631)
Pm (0.145, 0.209, 0.290)
Pm (0.065, 0.723, 0.131)
Pm (0.855, 0.791, 0.710)
Pm (0.684, 0.957, 0.369)
Pm (0.393, 0.541, 0.786)
Pm (0.935, 0.277, 0.869)
Mg (0.500, 0.000, 0.000)
Ga (0.226, 0.632, 0.451)
Ga (0.774, 0.368, 0.549)

=====

Record 5
First-principles (PBE) data for crystalline AcPd8Au4 at its relaxed geometry, as listed in the Alexandria database.

As for the space-group type: I4/mmm, No. 139. Its total magnetization is 0.0 μB/f.u. The calculation puts the energy relative to the elements at -273 meV per atom.

Unit cell a=5.466 b=7.140 c=7.140 alpha=81.58 beta=67.50 gamma=67.50
Element x y z (fractional)
Ac (0.000, 0.000, 0.000)
Pd (0.000, 0.353, 0.647)
Pd (0.000, 0.647, 0.353)
Pd (0.353, 0.647, 0.647)
Pd (0.647, 0.353, 0.353)
Pd (0.500, 0.781, 0.219)
Pd (0.500, 0.219, 0.781)
Pd (0.281, 0.219, 0.219)
Pd (0.719, 0.781, 0.781)
Au (0.000, 0.000, 0.500)
Au (0.500, 0.000, 0.500)
Au (0.000, 0.500, 0.000)
Au (0.500, 0.500, 0.000)

=====

Record 6
First-principles (PBE) data for crystalline KLi2SeI at its relaxed geometry, as listed in the Alexandria database.

As for the space-group type: P4/mmm, No. 123. Its total magnetization is 0.0 μB/f.u. The energy above the lowest structure with this stoichiometry is 79 meV/atom. As for the formation energy (no corrections): -1.164 eV per atom.

Unit cell a=4.940 b=4.940 c=6.535 alpha=90.00 beta=90.00 gamma=90.00
Element x y z (fractional)
I (0.500, 0.500, 0.500)
K (0.000, 0.000, 0.500)
Se (0.000, 0.000, 0.000)
Li (0.000, 0.500, 0.000)
Li (0.500, 0.000, 0.000)